Density functional theory data (PBE-GGA) for an optimized crystal structure of MgSnH2.

Computed properties:
Excess energy over the best structure of this formula in the dataset   455 meV/atom

The structure in CIF format:
```
data_MgSnH2
_chemical_formula_sum 'Mg4 Sn4 H8'
_cell_length_a 5.9973
_cell_length_b 5.9973
_cell_length_c 5.9973
_cell_angle_alpha 90.00
_cell_angle_beta 90.00
_cell_angle_gamma 90.00
_symmetry_space_group_name_H-M 'F m -3 m'
_symmetry_Int_Tables_number 225
_symmetry_space_group_name_Hall '-F 4 2 3'
loop_
_atom_site_label
_atom_site_type_symbol
_atom_site_fract_x
_atom_site_fract_y
_atom_site_fract_z
Mg1 Mg 0.0000 0.0000 0.0000
Sn1 Sn 0.0000 0.0000 0.5000
H1 H 0.2500 0.2500 0.2500
```

=====

Density functional theory data (PBE-GGA) for an optimized crystal structure of AcGdP2.

Computed properties:
Formation enthalpy at 0 K   -1.0436 eV/atom
Excess energy over the best structure of this formula in the dataset   450 meV/atom

The structure in CIF format:
```
data_AcGdP2
_chemical_formula_sum 'Ac1 Gd1 P2'
_cell_length_a 5.1685
_cell_length_b 5.1685
_cell_length_c 3.6452
_cell_angle_alpha 90.00
_cell_angle_beta 90.00
_cell_angle_gamma 90.00
_symmetry_space_group_name_H-M 'P 4/m m m'
_symmetry_Int_Tables_number 123
_symmetry_space_group_name_Hall '-P 4 2'
loop_
_atom_site_label
_atom_site_type_symbol
_atom_site_fract_x
_atom_site_fract_y
_atom_site_fract_z
Ac1 Ac 0.0000 0.0000 0.0000
Gd1 Gd 0.5000 0.5000 0.0000
P1 P 0.0000 0.5000 0.5000
```

=====

Density functional theory data (PBE-GGA) for an optimized crystal structure of CsGaAsBr2.

Computed properties:
E_form (uncorrected)   -0.590 eV per atom

The structure in CIF format:
```
data_CsGaAsBr2
_chemical_formula_sum 'Cs1 Ga1 As1 Br2'
_cell_length_a 5.7797
_cell_length_b 5.7797
_cell_length_c 5.1046
_cell_angle_alpha 90.00
_cell_angle_beta 90.00
_cell_angle_gamma 90.00
_symmetry_space_group_name_H-M 'P 4/m m m'
_symmetry_Int_Tables_number 123
_symmetry_space_group_name_Hall '-P 4 2'
loop_
_atom_site_label
_atom_site_type_symbol
_atom_site_fract_x
_atom_site_fract_y
_atom_site_fract_z
Cs1 Cs 0.0000 0.0000 0.0000
Ga1 Ga 0.5000 0.5000 0.5000
As1 As 0.5000 0.5000 0.0000
Br1 Br 0.0000 0.5000 0.5000
```

=====

Density functional theory data (PBE-GGA) for an optimized crystal structure of SrZrBr3.

Computed properties:
Excess energy over the best structure of this formula in the dataset   0 meV/atom
E_form (uncorrected)   -0.882 eV per atom

The structure in CIF format:
```
data_SrZrBr3
_chemical_formula_sum 'Sr1 Zr1 Br3'
_cell_length_a 5.4346
_cell_length_b 5.4346
_cell_length_c 5.4346
_cell_angle_alpha 90.00
_cell_angle_beta 90.00
_cell_angle_gamma 90.00
_symmetry_space_group_name_H-M 'P m -3 m'
_symmetry_Int_Tables_number 221
_symmetry_space_group_name_Hall '-P 4 2 3'
loop_
_atom_site_label
_atom_site_type_symbol
_atom_site_fract_x
_atom_site_fract_y
_atom_site_fract_z
Sr1 Sr 0.0000 0.0000 0.0000
Zr1 Zr 0.5000 0.5000 0.5000
Br1 Br 0.0000 0.5000 0.5000
```

=====

Density functional theory data (PBE-GGA) for an optimized crystal structure of BeMo3.

Computed properties:
Formation enthalpy at 0 K   0.2057 eV/atom
Excess energy over the best structure of this formula in the dataset   219 meV/atom

The structure in CIF format:
```
data_BeMo3
_chemical_formula_sum 'Be4 Mo12'
_cell_length_a 6.1335
_cell_length_b 6.1335
_cell_length_c 6.1335
_cell_angle_alpha 90.00
_cell_angle_beta 90.00
_cell_angle_gamma 90.00
_symmetry_space_group_name_H-M 'F m -3 m'
_symmetry_Int_Tables_number 225
_symmetry_space_group_name_Hall '-F 4 2 3'
loop_
_atom_site_label
_atom_site_type_symbol
_atom_site_fract_x
_atom_site_fract_y
_atom_site_fract_z
Be1 Be 0.0000 0.0000 0.0000
Mo1 Mo 0.0000 0.0000 0.5000
Mo2 Mo 0.2500 0.2500 0.2500
```

=====

Density functional theory data (PBE-GGA) for an optimized crystal structure of Nd4SiNCl2.

Computed properties:
E_form (uncorrected)   -1.311 eV per atom

The structure in CIF format:
```
data_Nd4SiNCl2
_chemical_formula_sum 'Nd4 Si1 N1 Cl2'
_cell_length_a 6.8937
_cell_length_b 3.9449
_cell_length_c 7.5341
_cell_angle_alpha 90.00
_cell_angle_beta 108.34
_cell_angle_gamma 90.00
_symmetry_space_group_name_H-M 'P 1 2/m 1'
_symmetry_Int_Tables_number 10
_symmetry_space_group_name_Hall '-P 2y'
loop_
_atom_site_label
_atom_site_type_symbol
_atom_site_fract_x
_atom_site_fract_y
_atom_site_fract_z
Nd1 Nd 0.2094 0.0000 0.1963
Nd2 Nd 0.2267 0.5000 0.7968
Si1 Si 0.5000 0.0000 0.0000
N1 N 0.0000 0.5000 0.0000
Cl1 Cl 0.0000 0.0000 0.5000
Cl2 Cl 0.5000 0.5000 0.5000
```

=====

Density functional theory data (PBE-GGA) for an optimized crystal structure of K2CuGeAu6.

Computed properties:
Formation enthalpy at 0 K   -0.1995 eV/atom

The structure in CIF format:
```
data_K2CuGeAu6
_chemical_formula_sum 'K2 Cu1 Ge1 Au6'
_cell_length_a 6.9131
_cell_length_b 6.9200
_cell_length_c 7.1487
_cell_angle_alpha 61.06
_cell_angle_beta 61.13
_cell_angle_gamma 60.19
_symmetry_space_group_name_H-M 'P -1'
_symmetry_Int_Tables_number 2
_symmetry_space_group_name_Hall '-P 1'
loop_
_atom_site_label
_atom_site_type_symbol
_atom_site_fract_x
_atom_site_fract_y
_atom_site_fract_z
K1 K 0.2091 0.2090 0.3727
Cu1 Cu 0.5000 0.5000 0.5000
Ge1 Ge 0.0000 0.0000 0.0000
Au1 Au 0.2494 0.2504 0.8438
Au2 Au 0.2501 0.6587 0.8416
Au3 Au 0.3436 0.7494 0.1562
```

=====

Density functional theory data (PBE-GGA) for an optimized crystal structure of Al4CuRe.

Computed properties:
Formation enthalpy at 0 K   0.2083 eV/atom
Excess energy over the best structure of this formula in the dataset   43 meV/atom

The structure in CIF format:
```
data_Al4CuRe
_chemical_formula_sum 'Al8 Cu2 Re2'
_cell_length_a 9.0002
_cell_length_b 9.1213
_cell_length_c 2.7858
_cell_angle_alpha 90.00
_cell_angle_beta 90.00
_cell_angle_gamma 90.00
_symmetry_space_group_name_H-M 'C m m m'
_symmetry_Int_Tables_number 65
_symmetry_space_group_name_Hall '-C 2 2'
loop_
_atom_site_label
_atom_site_type_symbol
_atom_site_fract_x
_atom_site_fract_y
_atom_site_fract_z
Al1 Al 0.0000 0.2359 0.0000
Al2 Al 0.2217 0.5000 0.5000
Cu1 Cu 0.0000 0.5000 0.0000
Re1 Re 0.0000 0.0000 0.5000
```

=====

Density functional theory data (PBE-GGA) for an optimized crystal structure of YZn8Ga2Cu.

Computed properties:
Formation enthalpy at 0 K   -0.0883 eV/atom

The structure in CIF format:
```
data_YZn8Ga2Cu
_chemical_formula_sum 'Y2 Zn16 Ga4 Cu2'
_cell_length_a 7.3944
_cell_length_b 4.9140
_cell_length_c 11.5328
_cell_angle_alpha 90.00
_cell_angle_beta 101.49
_cell_angle_gamma 90.00
_symmetry_space_group_name_H-M 'C 1 2/m 1'
_symmetry_Int_Tables_number 12
_symmetry_space_group_name_Hall '-C 2y'
loop_
_atom_site_label
_atom_site_type_symbol
_atom_site_fract_x
_atom_site_fract_y
_atom_site_fract_z
Y1 Y 0.0000 0.0000 0.0000
Zn1 Zn 0.0463 0.2486 0.3174
Zn2 Zn 0.1728 0.5000 0.5396
Zn3 Zn 0.2411 0.5000 0.1715
Ga1 Ga 0.1224 0.5000 0.8724
Cu1 Cu 0.0000 0.0000 0.5000
```

=====

Density functional theory data (PBE-GGA) for an optimized crystal structure of SbSe.

Computed properties:
E_form (uncorrected)   -0.017 eV per atom

The structure in CIF format:
```
data_SbSe
_chemical_formula_sum 'Sb4 Se4'
_cell_length_a 6.0009
_cell_length_b 6.0009
_cell_length_c 6.0009
_cell_angle_alpha 90.00
_cell_angle_beta 90.00
_cell_angle_gamma 90.00
_symmetry_space_group_name_H-M 'F m -3 m'
_symmetry_Int_Tables_number 225
_symmetry_space_group_name_Hall '-F 4 2 3'
loop_
_atom_site_label
_atom_site_type_symbol
_atom_site_fract_x
_atom_site_fract_y
_atom_site_fract_z
Sb1 Sb 0.0000 0.0000 0.0000
Se1 Se 0.0000 0.0000 0.5000
```

=====

Density functional theory data (PBE-GGA) for an optimized crystal structure of Tl2InNi.

Computed properties:
Formation enthalpy at 0 K   0.1336 eV/atom

The structure in CIF format:
```
data_Tl2InNi
_chemical_formula_sum 'Tl4 In2 Ni2'
_cell_length_a 3.4297
_cell_length_b 5.0977
_cell_length_c 11.7806
_cell_angle_alpha 90.00
_cell_angle_beta 90.00
_cell_angle_gamma 90.00
_symmetry_space_group_name_H-M 'A m m 2'
_symmetry_Int_Tables_number 38
_symmetry_space_group_name_Hall 'A 2 -2'
loop_
_atom_site_label
_atom_site_type_symbol
_atom_site_fract_x
_atom_site_fract_y
_atom_site_fract_z
Tl1 Tl 0.0000 0.0000 0.0000
Tl2 Tl 0.5000 0.0000 0.3253
In1 In 0.0000 0.0000 0.6554
Ni1 Ni 0.5000 0.0000 0.8212
```

=====

Density functional theory data (PBE-GGA) for an optimized crystal structure of Li2Ag2Pd7.

Computed properties:
Formation enthalpy at 0 K   -0.0657 eV/atom

The structure in CIF format:
```
data_Li2Ag2Pd7
_chemical_formula_sum 'Li4 Ag4 Pd14'
_cell_length_a 8.2788
_cell_length_b 9.2457
_cell_length_c 4.9029
_cell_angle_alpha 90.00
_cell_angle_beta 111.93
_cell_angle_gamma 90.00
_symmetry_space_group_name_H-M 'C 1 2/m 1'
_symmetry_Int_Tables_number 12
_symmetry_space_group_name_Hall '-C 2y'
loop_
_atom_site_label
_atom_site_type_symbol
_atom_site_fract_x
_atom_site_fract_y
_atom_site_fract_z
Li1 Li 0.0000 0.2184 0.0000
Ag1 Ag 0.1000 0.5000 0.3146
Pd1 Pd 0.0000 0.0000 0.5000
Pd2 Pd 0.1719 0.2460 0.6909
Pd3 Pd 0.2132 0.0000 0.0626
```

=====

In the order shown, the computed V values come out to 216 97 171 161 231 194 246 229 411 216 206 348 Å³/cell.
In the order shown, the computed magnetization values come out to 0.00 6.96 1.74 1.80 0.00 0.00 0.00 0.00 0.00 0.00 0.00 0.00 μB per formula unit.